# 1
Material: BiSI
Method: DFT, PBE
State: relaxed

## Properties
Energy relative to the elements, uncorrected, eV/atom: -0.398
Calculated density, g cm⁻³: 5.9
Size of the total moment, μB/f.u.: 0.0
Energy, eV per atom: -3.58

Unit cell a=4.1879 b=8.8454 c=11.2746 alpha=90.00 beta=90.00 gamma=90.00
With the nearest neighbours (Å) after each atom.
Atoms (fractional coordinates):
Bi  0.2500  0.8924  0.8764  3 S 2.61-2.78
Bi  0.7500  0.1076  0.1236  3 S 2.61-2.78
Bi  0.2500  0.3924  0.6236  3 S 2.61-2.78
Bi  0.7500  0.6076  0.3764  3 S 2.61-2.78
S  0.7500  0.8362  0.0321  3 Bi 2.61-2.78
S  0.2500  0.6638  0.5321  3 Bi 2.61-2.78
S  0.7500  0.3362  0.4679  3 Bi 2.61-2.78
S  0.2500  0.1638  0.9679  3 Bi 2.61-2.78
I  0.2500  0.9678  0.3113  2 Bi 3.22
I  0.7500  0.5322  0.8113  2 Bi 3.22
I  0.2500  0.4678  0.1887  2 Bi 3.22
I  0.7500  0.0322  0.6887  2 Bi 3.22


# 2
Material: Na2AsOF5
Method: DFT, PBE
State: relaxed

## Properties
Energy relative to the elements, uncorrected, eV/atom: -2.220
Calculated density, g cm⁻³: 3.2
Size of the total moment, μB/f.u.: 0.1
Energy, eV per atom: -4.62

Unit cell a=5.7285 b=5.7285 c=5.7285 alpha=82.01 beta=124.72 gamma=124.72
With the nearest neighbours (Å) after each atom.
Atoms (fractional coordinates):
Na  0.5000  0.2199  0.7199  6 F 2.57-2.66, 2 O 2.73
Na  0.5000  0.7199  0.2199  6 F 2.57-2.66, 2 O 2.73
As  0.0000  0.9887  0.9887  1 O 1.69, 4 F 1.82
O  0.0000  0.7931  0.7931  1 As 1.69
F  0.4793  0.2573  0.2573  1 As 1.82
F  0.5207  0.7780  0.7780  1 As 1.82
F  0.0000  0.7780  0.2573  1 As 1.82
F  0.0000  0.2573  0.7780  1 As 1.82
F  0.0000  0.2079  0.2079  1 As 1.90


# 3
Material: Fe2NiAg
Method: DFT, PBE
State: relaxed

## Properties
Calculated density, g cm⁻³: 8.7
Size of the total moment, μB/f.u.: 6.0
DFT formation energy, eV/atom: 0.272
Energy, eV per atom: -6.12
Relative energy among the computed polymorphs, eV/atom: 0.086

Unit cell a=4.6116 b=4.6116 c=4.5806 alpha=79.65 beta=79.65 gamma=33.52
With the nearest neighbours (Å) after each atom.
Atoms (fractional coordinates):
Ag  0.2500  0.2500  0.2500  4 Ni 2.65, 2 Ag 2.66, 6 Fe 2.68-2.73
Fe  0.0072  0.0072  0.9769  4 Fe 2.49-2.66, 3 Ni 2.57-2.67, 3 Ag 2.68-2.73
Fe  0.4928  0.4928  0.5231  4 Fe 2.49-2.66, 3 Ni 2.57-2.67, 3 Ag 2.68-2.73
Ni  0.7500  0.7500  0.7500  6 Fe 2.57-2.67, 4 Ag 2.65, 2 Ni 2.66